# 1
# TbTm2Ga3CuNi2

TbTm2Ga3CuNi2 after structural relaxation (PBE, OQMD via LeMat-Bulk).

Cell lengths 3.698, 7.085, 7.085 Å; angles 120.06, 90.00, 90.00 degrees
Positions (direct):
Cu 0.000 0.998 0.998
Ga 0.500 0.998 0.256
Ga 0.500 0.746 0.746
Ga 0.500 0.256 0.998
Ni 0.500 0.669 0.332
Ni 0.500 0.332 0.669
Tb 0.000 0.413 0.413
Tm 0.000 0.589 0.000
Tm 0.000 0.000 0.589

Properties
calculated total energy: -4.77 eV/atom
M_tot: 0.00 μB/f.u.

# 2
# Ta7Re5

Ta7Re5 after structural relaxation (PBE, OQMD via LeMat-Bulk).

Cell lengths 5.315, 5.315, 16.958 Å; angles 90.00, 90.00, 120.00 degrees
Positions (direct):
Re 0.333 0.667 0.129
Re 0.161 0.322 0.250
Re 0.161 0.839 0.250
Re 0.678 0.839 0.250
Re 0.333 0.667 0.371
Re 0.667 0.333 0.629
Re 0.322 0.161 0.750
Re 0.839 0.161 0.750
Re 0.839 0.678 0.750
Re 0.667 0.333 0.871
Ta 0.500 0.000 0.000
Ta 0.000 0.500 0.000
Ta 0.500 0.500 0.000
Ta 0.000 0.000 0.097
Ta 0.667 0.333 0.161
Ta 0.667 0.333 0.339
Ta 0.000 0.000 0.403
Ta 0.500 0.000 0.500
Ta 0.000 0.500 0.500
Ta 0.500 0.500 0.500
Ta 0.000 0.000 0.597
Ta 0.333 0.667 0.661
Ta 0.333 0.667 0.839
Ta 0.000 0.000 0.903

Properties
energy relative to the elements: -0.069 eV/atom
M_tot: 0.03 μB/f.u.
offset from the most stable computed form: 0.0 meV/atom

# 3
# BeTlFeIr

BeTlFeIr after structural relaxation (PBE, OQMD via LeMat-Bulk).

Cell lengths 4.336, 4.336, 4.336 Å; angles 60.00, 60.00, 60.00 degrees
Positions (direct):
Be 0.250 0.250 0.250
Fe 0.750 0.750 0.750
Ir 0.500 0.500 0.500
Tl 0.000 0.000 0.000

Properties
M_tot: 3.10 μB/f.u.
offset from the most stable computed form: 0.0 meV/atom

# 4
# NbCo2Au

NbCo2Au after structural relaxation (PBE, OQMD via LeMat-Bulk).

Cell lengths 4.365, 4.365, 4.365 Å; angles 60.00, 60.00, 60.00 degrees
Positions (direct):
Au 0.250 0.250 0.250
Co 0.000 0.000 0.000
Co 0.750 0.750 0.750
Nb 0.500 0.500 0.500

Properties
energy relative to the elements: 0.228 eV/atom
M_tot: 2.96 μB/f.u.

# 5
# KTc2

KTc2 after structural relaxation (PBE, OQMD via LeMat-Bulk).

Cell lengths 5.501, 5.501, 5.501 Å; angles 60.00, 60.00, 60.00 degrees
Positions (direct):
K 0.000 0.000 0.000
K 0.250 0.250 0.250
Tc 0.625 0.625 0.125
Tc 0.625 0.125 0.625
Tc 0.125 0.625 0.625
Tc 0.625 0.625 0.625

Properties
calculated total energy: -5.97 eV/atom
M_tot: 0.01 μB/f.u.

# 6
# PmTl

PmTl after structural relaxation (PBE, OQMD via LeMat-Bulk).

Cell lengths 4.498, 4.498, 4.498 Å; angles 60.00, 60.00, 60.00 degrees
Positions (direct):
Pm 0.000 0.000 0.000
Tl 0.500 0.500 0.500

Properties
calculated total energy: -3.67 eV/atom
M_tot: 0.14 μB/f.u.

# 7
# PmPaCu

PmPaCu after structural relaxation (PBE, OQMD via LeMat-Bulk).

Cell lengths 4.779, 4.779, 4.779 Å; angles 60.00, 60.00, 60.00 degrees
Positions (direct):
Cu 0.000 0.000 0.000
Pa 0.250 0.250 0.250
Pm 0.750 0.750 0.750

Properties
energy relative to the elements: 0.483 eV/atom
M_tot: 0.70 μB/f.u.
offset from the most stable computed form: 0.0 meV/atom

# 8
# CoSbPt

CoSbPt after structural relaxation (PBE, OQMD via LeMat-Bulk).

Cell lengths 4.233, 4.233, 6.854 Å; angles 90.00, 90.00, 120.00 degrees
Positions (direct):
Co 0.000 0.000 0.285
Co 0.000 0.000 0.785
Pt 0.333 0.667 0.044
Pt 0.667 0.333 0.544
Sb 0.333 0.667 0.421
Sb 0.667 0.333 0.921

Properties
calculated total energy: -5.68 eV/atom
M_tot: 0.80 μB/f.u.